Here is an optimized crystal structure of La6Pt2Pb from Alexandria. Energies are from PBE.

Uncorrected energy ... -5.688 eV per atom
Crystal system ... monoclinic
E_form ... -0.6484 eV per atom

Lattice parameters (Å, degrees): 5.148 6.121 9.513 92.90 90.00 114.87
Fractional positions:
Pt1 0.744 0.487 0.892
Pt2 0.256 0.513 0.108
La1 0.393 0.787 0.836
La2 0.923 0.847 0.145
La3 0.307 0.614 0.397
La4 0.607 0.213 0.164
La5 0.077 0.153 0.855
La6 0.693 0.386 0.603
Pb1 0.000 0.000 0.500

Here is an optimized crystal structure of La4PtPb from Alexandria. Energies are from PBE.

Uncorrected energy ... -5.536 eV per atom
Crystal system ... monoclinic
Excess energy over the best structure of this formula in the dataset ... 0 meV/atom
E_form ... -0.6263 eV per atom

Lattice parameters (Å, degrees): 6.370 7.228 10.141 90.00 122.17 90.00
Fractional positions:
Pb1 0.332 0.250 0.062
Pb2 0.668 0.750 0.938
La1 0.292 0.750 0.130
La2 0.893 0.492 0.274
La3 0.107 0.508 0.726
La4 0.107 0.992 0.726
La5 0.893 0.008 0.274
La6 0.558 0.250 0.440
La7 0.442 0.750 0.560
La8 0.708 0.250 0.870
Pt1 0.774 0.750 0.445
Pt2 0.226 0.250 0.555

Here is an optimized crystal structure of LaPtPb2 from Alexandria. Energies are from PBE.

Uncorrected energy ... -5.148 eV per atom
Crystal system ... orthorhombic
Excess energy over the best structure of this formula in the dataset ... 9 meV/atom
E_form ... -0.5518 eV per atom

Lattice parameters (Å, degrees): 4.011 4.450 6.746 70.75 90.00 90.00
Fractional positions:
Pt1 0.000 0.275 0.573
La1 0.500 0.728 0.669
Pb1 0.000 0.049 0.027
Pb2 0.500 0.447 0.231

Here is an optimized crystal structure of La2PtPb2 from Alexandria. Energies are from PBE.

Uncorrected energy ... -5.226 eV per atom
Crystal system ... tetragonal
Excess energy over the best structure of this formula in the dataset ... 0 meV/atom
E_form ... -0.5634 eV per atom

Lattice parameters (Å, degrees): 7.530 7.530 5.052 90.00 90.00 90.00
Fractional positions:
Pb1 0.146 0.354 0.000
Pb2 0.354 0.854 0.000
Pb3 0.854 0.646 0.000
Pb4 0.646 0.146 0.000
Pt1 0.500 0.500 0.000
Pt2 0.000 0.000 0.000
La1 0.830 0.330 0.500
La2 0.330 0.170 0.500
La3 0.170 0.670 0.500
La4 0.670 0.830 0.500

Here is an optimized crystal structure of LaPtPb from Alexandria. Energies are from PBE.

Uncorrected energy ... -5.759 eV per atom
Crystal system ... orthorhombic
E_form ... -0.8666 eV per atom

Lattice parameters (Å, degrees): 4.046 8.026 14.304 90.00 90.00 90.00
Fractional positions:
Pt1 0.500 0.070 0.093
Pt2 0.500 0.930 0.593
Pt3 0.000 0.439 0.750
Pt4 0.000 0.561 0.250
Pt5 0.500 0.070 0.407
Pt6 0.500 0.930 0.907
La1 0.000 0.777 0.451
La2 0.000 0.158 0.250
La3 0.000 0.223 0.549
La4 0.000 0.223 0.951
La5 0.000 0.777 0.049
La6 0.000 0.842 0.750
Pb1 0.500 0.818 0.250
Pb2 0.500 0.438 0.121
Pb3 0.500 0.562 0.879
Pb4 0.500 0.182 0.750
Pb5 0.500 0.438 0.379
Pb6 0.500 0.562 0.621

Here is an optimized crystal structure of LaPtPb4 from Alexandria. Energies are from PBE.

Uncorrected energy ... -4.163 eV per atom
Crystal system ... cubic
E_form ... 0.1375 eV per atom

Lattice parameters (Å, degrees): 6.319 6.319 6.319 60.00 60.00 60.00
Fractional positions:
Pb1 0.874 0.375 0.375
Pb2 0.375 0.375 0.874
Pb3 0.375 0.874 0.375
Pb4 0.375 0.375 0.375
La1 0.000 0.000 0.000
Pt1 0.750 0.750 0.750

Here is an optimized crystal structure of LaPtPb2 from Alexandria. Energies are from PBE.

Uncorrected energy ... -5.157 eV per atom
Crystal system ... orthorhombic
Excess energy over the best structure of this formula in the dataset ... 0 meV/atom
E_form ... -0.5604 eV per atom

Lattice parameters (Å, degrees): 4.689 4.985 4.985 74.23 90.00 90.00
Fractional positions:
Pt1 0.500 0.250 0.250
Pb1 0.000 0.448 0.448
Pb2 0.000 0.052 0.052
La1 0.500 0.750 0.750

Here is an optimized crystal structure of LaPtPb2 from Alexandria. Energies are from PBE.

Uncorrected energy ... -5.022 eV per atom
Crystal system ... trigonal
Excess energy over the best structure of this formula in the dataset ... 135 meV/atom
E_form ... -0.4253 eV per atom

Lattice parameters (Å, degrees): 6.902 6.902 6.902 39.16 39.16 39.16
Fractional positions:
Pt1 0.508 0.508 0.508
Pb1 0.234 0.234 0.234
Pb2 0.987 0.987 0.987
La1 0.772 0.772 0.772

no.,V (A^3/atom)
1,30.2
2,32.9
3,28.4
4,28.6
5,25.8
6,29.7
7,28.0
8,29.5